A plane-wave DFT calculation with PBE was carried out for an optimized crystal structure of KRePt.

Results
Its relative energy among the computed polymorphs is 630.1 meV/atom. As for the energy of formation from the pure elements: 858 meV/atom. As for the space-group type: P-6m2 (187). For the density of states at the Fermi level, the calculation gives 5.19 states/eV per cell.

abc: 4.621 4.621 7.974
angles: 90.00 90.00 120.00
Element x y z (fractional)
K 0.000 0.000 0.000
K 0.000 0.000 0.500
Re 0.667 0.333 0.147
Re 0.667 0.333 0.853
Pt 0.333 0.667 0.183
Pt 0.333 0.667 0.817

A plane-wave DFT calculation with PBE was carried out for an optimized crystal structure of BeTl2Os.

Results
Its relative energy among the computed polymorphs is 244.7 meV/atom. As for the energy of formation from the pure elements: 669 meV/atom. As for the space-group type: Imm2 (44). For the density of states at the Fermi level, the calculation gives 3.78 states/eV per cell.

abc: 3.091 4.611 11.651
angles: 90.00 90.00 90.00
Element x y z (fractional)
Be 0.000 0.000 0.000
Be 0.500 0.500 0.500
Tl 0.000 0.000 0.384
Tl 0.000 0.500 0.161
Tl 0.500 0.000 0.661
Tl 0.500 0.500 0.884
Os 0.000 0.500 0.638
Os 0.500 0.000 0.138

A plane-wave DFT calculation with PBE was carried out for an optimized crystal structure of La2NdSmHo.

Results
As for the energy of formation from the pure elements: 34 meV/atom. As for the space-group type: P2_1/m (11). For the density of states at the Fermi level, the calculation gives 17.26 states/eV per cell.

abc: 6.425 5.901 9.828
angles: 90.00 108.98 90.00
Element x y z (fractional)
La 0.037 0.250 0.400
La 0.232 0.250 0.804
La 0.768 0.750 0.196
La 0.963 0.750 0.600
Nd 0.366 0.750 0.398
Nd 0.634 0.250 0.602
Sm 0.430 0.250 0.195
Sm 0.570 0.750 0.805
Ho 0.164 0.750 0.000
Ho 0.836 0.250 0.000

| no. | magnetic moment (μB/cell) | uncorrected energy (eV per atom) |
| --- | --- | --- |
| 1 | 0.00 | -5.67 |
| 2 | 0.00 | -4.25 |
| 3 | 0.00 | -4.75 |